CeDy2HoSc (GGA-PBE, optimized geometry); calculated formation energy = 260 meV/atom; space-group type = Pmma (51); Fermi-level density of states = 18.5 states/eV per cell
1.0
6.856 0.000 0.000
0.000 7.506 1.409
0.000 -1.065 5.669
Ce Dy Ho Sc
2 4 2 2
direct
0.000 0.000 0.000
0.000 0.000 0.500
0.675 0.709 0.750
0.675 0.291 0.750
0.325 0.709 0.250
0.325 0.291 0.250
0.162 0.500 0.750
0.838 0.500 0.250
0.606 0.000 0.250
0.394 0.000 0.750